Compound: SrCo2RuO
Source: the Alexandria database
Functional: GGA+U
Structure: relaxed

Unit cell a=4.100 b=4.823 c=4.100 alpha=90.00 beta=90.00 gamma=90.00
Site moments in Bohr magnetons follow the coordinates.
Atoms (fractional coordinates):
1 Ru 0.500 0.500 0.500  1.32
2 Co 0.000 0.000 0.500  2.28
3 Co 0.500 0.000 0.000  2.30
4 O 0.000 0.000 0.000  0.04
5 Sr 0.000 0.500 0.000  -0.03

Calculated values
The final energy comes out at -4.9865 eV per atom. Its symmetry is P4/mmm.